1.
The following is a PBE calculation of a relaxed Pa2VGe3 crystal, from Alexandria via LeMat-Bulk.

Calculated values
VASP energy: -43.0 eV for the cell shown
Formation energy: -0.18 eV per atom

Cell: 3.738 4.653 8.176 Å, 106.53 103.21 90.00°
Last column: magnetic moment on the atom in μB.
Fractional positions:
Pa (0.646, 0.646, 0.291)  0.01
Pa (0.354, 0.354, 0.709)  0.01
V (0.000, 0.000, 0.000)  0.69
Ge (0.000, 0.500, 0.000)  -0.02
Ge (0.834, 0.834, 0.669)  -0.01
Ge (0.166, 0.166, 0.331)  -0.01

=====

2.
The following is a PBE calculation of a relaxed Pa2GeW crystal, from Alexandria via LeMat-Bulk.

Calculated values
VASP energy: -34.9 eV for the cell shown
Formation energy: 0.43 eV per atom

Cell: 3.062 3.062 10.760 Å, 81.82 81.82 60.00°
Fractional positions:
Ge (0.500, 0.500, 0.500)
Pa (0.086, 0.086, 0.742)
Pa (0.914, 0.914, 0.258)
W (0.000, 0.000, 0.000)

=====

3.
The following is a PBE calculation of a relaxed Pa4Ge8W crystal, from Alexandria via LeMat-Bulk.

Calculated values
VASP energy: -91.8 eV for the cell shown
Formation energy: -0.30 eV per atom

Cell: 4.084 4.083 16.379 Å, 90.00 90.00 90.00°
Fractional positions:
Pa (0.000, 0.000, 0.094)
Pa (0.000, 0.500, 0.618)
Pa (0.500, 0.500, 0.390)
Pa (0.500, 0.000, 0.892)
Ge (0.000, 0.000, 0.474)
Ge (0.000, 0.500, 0.935)
Ge (0.500, 0.500, 0.046)
Ge (0.500, 0.000, 0.572)
Ge (0.000, 0.500, 0.225)
Ge (0.000, 0.000, 0.756)
Ge (0.500, 0.000, 0.225)
Ge (0.500, 0.500, 0.754)
W (0.000, 0.000, 0.323)

=====

4.
The following is a PBE calculation of a relaxed Pa2GeW crystal, from Alexandria via LeMat-Bulk.

Calculated values
VASP energy: -36.8 eV for the cell shown
Formation energy: -0.07 eV per atom

Cell: 3.708 3.708 6.228 Å, 90.00 90.00 90.00°
Fractional positions:
Ge (0.500, 0.500, 0.000)
Pa (0.000, 0.000, 0.762)
Pa (0.000, 0.000, 0.238)
W (0.500, 0.500, 0.500)